# 1
A plane-wave DFT calculation with PBE was carried out for a relaxed NaCeHg crystal.

abc: 3.224 5.320 5.320
angles: 120.00 90.00 90.00
Last column: magnetic moment on the atom in μB.
Fractional coordinates of all 3 atoms:
Hg (0.835, 0.667, 0.333)  -0.01
Na (0.831, 0.000, 0.000)  0.00
Ce (0.334, 0.333, 0.667)  0.99

Properties
- M_tot (Bohr magnetons per cell) = 1.1
- space-group type = P3m1
- relative energy among the computed polymorphs (meV/atom) = 160
- DOS(E_F) (states/eV/atom) = 2.5157
- energy relative to the elements (meV per atom) = -10

=====

# 2
A plane-wave DFT calculation with PBE was carried out for a relaxed NaCe2Hg3 crystal.

abc: 3.678 3.678 12.057
angles: 90.00 90.00 90.00
Last column: magnetic moment on the atom in μB.
Fractional coordinates of all 6 atoms:
Hg (0.000, 0.000, 0.664)  0.02
Hg (0.000, 0.000, 0.336)  0.02
Hg (0.000, 0.000, 0.000)  0.02
Na (0.500, 0.500, 0.500)  0.00
Ce (0.500, 0.500, 0.829)  1.00
Ce (0.500, 0.500, 0.171)  1.00

Properties
- M_tot (Bohr magnetons per cell) = 2.7
- space-group type = P4/mmm
- DOS(E_F) (states/eV/atom) = 2.7316
- energy relative to the elements (meV per atom) = -264

=====

# 3
A plane-wave DFT calculation with PBE was carried out for a relaxed Na3CeHg4 crystal.

abc: 5.316 5.316 9.184
angles: 73.18 73.18 60.00
Last column: magnetic moment on the atom in μB.
Fractional coordinates of all 8 atoms:
Ce (0.000, 0.000, 0.000)  0.91
Hg (0.373, 0.373, 0.882)  0.01
Hg (0.122, 0.122, 0.633)  0.00
Hg (0.627, 0.627, 0.118)  0.01
Hg (0.878, 0.878, 0.367)  0.00
Na (0.500, 0.500, 0.500)  0.00
Na (0.753, 0.753, 0.741)  0.00
Na (0.247, 0.247, 0.259)  0.00

Properties
- M_tot (Bohr magnetons per cell) = 1.0
- space-group type = R-3m
- DOS(E_F) (states/eV/atom) = 1.2995
- energy relative to the elements (meV per atom) = -240

=====

# 4
A plane-wave DFT calculation with PBE was carried out for a relaxed Na3Ce2Hg4 crystal.

abc: 5.268 5.274 10.326
angles: 89.70 89.98 60.05
Last column: magnetic moment on the atom in μB.
Fractional coordinates of all 9 atoms:
Na (0.000, 0.000, 0.000)  0.00
Na (0.666, 0.669, 0.574)  0.00
Na (0.334, 0.331, 0.426)  0.00
Hg (0.999, 0.003, 0.673)  0.01
Hg (0.666, 0.669, 0.893)  0.00
Hg (0.001, 0.997, 0.327)  0.01
Hg (0.334, 0.331, 0.107)  0.00
Ce (0.668, 0.665, 0.200)  0.92
Ce (0.332, 0.335, 0.800)  0.92

Properties
- M_tot (Bohr magnetons per cell) = 2.1
- space-group type = C2/m
- DOS(E_F) (states/eV/atom) = 2.0437
- energy relative to the elements (meV per atom) = -205

=====

# 5
A plane-wave DFT calculation with PBE was carried out for a relaxed NaCeHg4 crystal.

abc: 3.290 5.103 8.956
angles: 90.00 89.90 90.00
Last column: magnetic moment on the atom in μB.
Fractional coordinates of all 6 atoms:
Hg (0.999, 0.000, 0.339)  0.00
Hg (0.998, 0.500, 0.169)  0.01
Hg (0.001, 0.000, 0.661)  0.00
Hg (0.002, 0.500, 0.831)  0.01
Na (0.500, 0.500, 0.500)  0.00
Ce (0.500, 0.000, 0.000)  1.01

Properties
- M_tot (Bohr magnetons per cell) = 1.3
- space-group type = P2/m
- relative energy among the computed polymorphs (meV/atom) = 0
- DOS(E_F) (states/eV/atom) = 1.2361
- energy relative to the elements (meV per atom) = -273

=====

# 6
A plane-wave DFT calculation with PBE was carried out for a relaxed NaCeHg4 crystal.

abc: 6.055 6.055 6.055
angles: 60.00 60.00 60.00
Last column: magnetic moment on the atom in μB.
Fractional coordinates of all 6 atoms:
Hg (0.625, 0.625, 0.125)  0.03
Hg (0.625, 0.625, 0.625)  0.03
Hg (0.125, 0.625, 0.625)  0.03
Hg (0.625, 0.125, 0.625)  0.03
Ce (0.000, 0.000, 0.000)  1.19
Na (0.250, 0.250, 0.250)  0.01

Properties
- M_tot (Bohr magnetons per cell) = 1.8
- space-group type = F-43m
- relative energy among the computed polymorphs (meV/atom) = 156
- DOS(E_F) (states/eV/atom) = 1.9458
- energy relative to the elements (meV per atom) = -117

=====

# 7
A plane-wave DFT calculation with PBE was carried out for a relaxed NaCeHg crystal.

abc: 3.992 5.477 11.774
angles: 115.59 109.83 43.22
Last column: magnetic moment on the atom in μB.
Fractional coordinates of all 6 atoms:
Ce (0.610, 0.223, 0.284)  0.25
Ce (0.770, 0.428, 0.149)  0.25
Na (0.705, 0.154, 0.811)  0.00
Na (0.674, 0.497, 0.622)  0.00
Hg (0.736, 0.782, 0.970)  0.00
Hg (0.643, 0.869, 0.464)  0.00

Properties
- M_tot (Bohr magnetons per cell) = 0.5
- space-group type = P2_1/m
- relative energy among the computed polymorphs (meV/atom) = 0
- DOS(E_F) (states/eV/atom) = 1.3862
- energy relative to the elements (meV per atom) = -170

=====

# 8
A plane-wave DFT calculation with PBE was carried out for a relaxed Na2CeHg3 crystal.

abc: 5.321 5.321 6.488
angles: 90.00 90.00 120.00
Last column: magnetic moment on the atom in μB.
Fractional coordinates of all 6 atoms:
Na (0.667, 0.333, 0.357)  0.00
Na (0.333, 0.667, 0.643)  0.00
Hg (0.667, 0.333, 0.857)  0.01
Hg (0.000, 0.000, 0.500)  0.01
Hg (0.333, 0.667, 0.143)  0.01
Ce (0.000, 0.000, 0.000)  0.94

Properties
- M_tot (Bohr magnetons per cell) = 1.2
- space-group type = P-3m1
- relative energy among the computed polymorphs (meV/atom) = 2
- DOS(E_F) (states/eV/atom) = 1.7144
- energy relative to the elements (meV per atom) = -248

=====

# 9
A plane-wave DFT calculation with PBE was carried out for a relaxed NaCe2Hg2 crystal.

abc: 11.136 8.478 6.974
angles: 71.74 37.02 48.95
Last column: magnetic moment on the atom in μB.
Fractional coordinates of all 10 atoms:
Hg (0.275, 0.672, 0.568)  0.00
Hg (0.515, 0.828, 0.932)  0.00
Hg (0.485, 0.172, 0.068)  0.00
Hg (0.725, 0.328, 0.432)  0.00
Ce (0.905, 0.565, 0.915)  -0.27
Ce (0.385, 0.935, 0.585)  -0.27
Ce (0.615, 0.065, 0.415)  -0.27
Ce (0.095, 0.435, 0.085)  -0.27
Na (0.151, 0.750, 0.250)  0.00
Na (0.849, 0.250, 0.750)  0.00

Properties
- M_tot (Bohr magnetons per cell) = 1.2
- space-group type = C2/c
- DOS(E_F) (states/eV/atom) = 1.4741
- energy relative to the elements (meV per atom) = -189

=====

# 10
A plane-wave DFT calculation with PBE was carried out for a relaxed Na2CeHgO4 crystal.

abc: 3.503 6.000 6.057
angles: 111.72 90.00 90.00
Fractional coordinates of all 8 atoms:
Na (0.500, 0.000, 0.500)
Na (0.000, 0.500, 0.500)
O (0.500, 0.258, 0.217)
O (0.000, 0.704, 0.230)
O (0.000, 0.296, 0.770)
O (0.500, 0.742, 0.783)
Ce (0.500, 0.500, 0.000)
Hg (0.000, 0.000, 0.000)

Properties
- M_tot (Bohr magnetons per cell) = 0.0
- formation energy (no corrections) (meV per atom) = -1884
- space-group type = P2/m

=====

# 11
A plane-wave DFT calculation with PBE was carried out for a relaxed NaCeHgPb crystal.

abc: 5.406 5.406 5.406
angles: 60.00 60.00 60.00
Last column: magnetic moment on the atom in μB.
Fractional coordinates of all 4 atoms:
Hg (0.500, 0.500, 0.500)  0.01
Ce (0.750, 0.750, 0.750)  0.91
Pb (0.000, 0.000, 0.000)  -0.02
Na (0.250, 0.250, 0.250)  0.00

Properties
- M_tot (Bohr magnetons per cell) = 1.0
- space-group type = F-43m
- DOS(E_F) (states/eV/atom) = 1.8384
- energy relative to the elements (meV per atom) = -321

=====

# 12
A plane-wave DFT calculation with PBE was carried out for a relaxed NaCe2Hg4Pb crystal.

abc: 5.316 5.316 9.180
angles: 73.17 73.17 60.00
Last column: magnetic moment on the atom in μB.
Fractional coordinates of all 8 atoms:
Hg (0.131, 0.131, 0.606)  0.00
Hg (0.618, 0.618, 0.145)  0.00
Hg (0.869, 0.869, 0.394)  0.00
Hg (0.382, 0.382, 0.855)  0.00
Na (0.500, 0.500, 0.500)  0.00
Pb (0.000, 0.000, 0.000)  -0.01
Ce (0.255, 0.255, 0.234)  0.87
Ce (0.745, 0.745, 0.766)  0.87

Properties
- M_tot (Bohr magnetons per cell) = 1.9
- space-group type = R-3m
- DOS(E_F) (states/eV/atom) = 2.0284
- energy relative to the elements (meV per atom) = -310

=====

# 13
A plane-wave DFT calculation with PBE was carried out for a relaxed NaCeHgPd crystal.

abc: 5.115 5.115 5.115
angles: 60.00 60.00 60.00
Last column: magnetic moment on the atom in μB.
Fractional coordinates of all 4 atoms:
Pd (0.500, 0.500, 0.500)  -0.02
Ce (0.750, 0.750, 0.750)  0.79
Na (0.250, 0.250, 0.250)  0.00
Hg (0.000, 0.000, 0.000)  0.01

Properties
- M_tot (Bohr magnetons per cell) = 0.9
- space-group type = F-43m
- DOS(E_F) (states/eV/atom) = 2.2551
- energy relative to the elements (meV per atom) = -284